[1]
The following is a PBE calculation of an optimized crystal structure of TbAl2Br8, from Alexandria.

The structure in CIF format:
```
data_TbAl2Br8
_space_group_name_H-M_alt 'C 1 2/m 1'
_space_group_IT_number 12
_space_group_name_Hall '-C 2y'
_cell_length_a 13.527
_cell_length_b 10.033
_cell_length_c 6.791
_cell_angle_alpha 90.00
_cell_angle_beta 98.53
_cell_angle_gamma 90.00
loop_
_atom_site_label
_atom_site_type_symbol
_atom_site_fract_x
_atom_site_fract_y
_atom_site_fract_z
_atom_site_occupancy
Tb1 Tb 0.000 0.000 0.000 1
Al1 Al 0.193 0.000 0.649 1
Br1 Br 0.101 0.180 0.766 1
Br2 Br 0.141 0.500 0.224 1
Br3 Br 0.181 0.000 0.288 1
```



[2]
# TaCuAg2 | Alexandria | PBE | optimized geometry
# * energy above the most stable polymorph in this dataset: 0.1503 eV/atom
data_TaCuAg2
_space_group_name_H-M_alt 'C 1 2/m 1'
_space_group_IT_number 12
_space_group_name_Hall '-C 2y'
_cell_length_a 9.631
_cell_length_b 2.772
_cell_length_c 4.983
_cell_angle_alpha 90.00
_cell_angle_beta 98.63
_cell_angle_gamma 90.00
loop_
_atom_site_label
_atom_site_type_symbol
_atom_site_fract_x
_atom_site_fract_y
_atom_site_fract_z
_atom_site_occupancy
Ta1 Ta 0.000 0.000 0.000 1
Cu1 Cu 0.000 0.500 0.500 1
Ag1 Ag 0.246 0.000 0.746 1



[3]
The following is a PBE calculation of an optimized crystal structure of ZnIrW4, from Alexandria.

The structure in CIF format:
```
data_ZnIrW4
_space_group_name_H-M_alt 'F -4 3 m'
_space_group_IT_number 216
_space_group_name_Hall 'F -4 2 3'
_cell_length_a 7.387
_cell_length_b 7.387
_cell_length_c 7.387
_cell_angle_alpha 90.00
_cell_angle_beta 90.00
_cell_angle_gamma 90.00
loop_
_atom_site_label
_atom_site_type_symbol
_atom_site_fract_x
_atom_site_fract_y
_atom_site_fract_z
_atom_site_occupancy
Zn1 Zn 0.000 0.000 0.000 1
Ir1 Ir 0.250 0.250 0.750 1
W1 W 0.127 0.127 0.373 1
```



[4]
The following is a PBE calculation of an optimized crystal structure of NdRhCl, from Alexandria.

The structure in CIF format:
```
data_NdRhCl
_space_group_name_H-M_alt 'C 1 2/m 1'
_space_group_IT_number 12
_space_group_name_Hall '-C 2y'
_cell_length_a 21.267
_cell_length_b 3.927
_cell_length_c 7.938
_cell_angle_alpha 90.00
_cell_angle_beta 94.70
_cell_angle_gamma 90.00
loop_
_atom_site_label
_atom_site_type_symbol
_atom_site_fract_x
_atom_site_fract_y
_atom_site_fract_z
_atom_site_occupancy
Nd1 Nd 0.148 0.000 0.095 1
Nd2 Nd 0.157 0.000 0.611 1
Rh1 Rh 0.242 0.500 0.119 1
Rh2 Rh 0.248 0.000 0.372 1
Cl1 Cl 0.063 0.000 0.340 1
Cl2 Cl 0.092 0.500 0.837 1
```



[5]
The following is a PBE calculation of an optimized crystal structure of MnZnNiIr, from Alexandria.

The structure in CIF format:
```
data_MnZnNiIr
_space_group_name_H-M_alt 'P m m m'
_space_group_IT_number 47
_space_group_name_Hall '-P 2 2'
_cell_length_a 3.098
_cell_length_b 4.119
_cell_length_c 4.137
_cell_angle_alpha 90.00
_cell_angle_beta 90.00
_cell_angle_gamma 90.00
loop_
_atom_site_label
_atom_site_type_symbol
_atom_site_fract_x
_atom_site_fract_y
_atom_site_fract_z
_atom_site_occupancy
Mn1 Mn 0.000 0.000 0.000 1
Zn1 Zn 0.000 0.500 0.500 1
Ni1 Ni 0.500 0.500 0.000 1
Ir1 Ir 0.500 0.000 0.500 1
```



[6]
The following is a PBE calculation of an optimized crystal structure of BaGaTcGe2, from Alexandria.

The structure in CIF format:
```
data_BaGaTcGe2
_space_group_name_H-M_alt 'P 4/m m m'
_space_group_IT_number 123
_space_group_name_Hall '-P 4 2'
_cell_length_a 4.894
_cell_length_b 4.894
_cell_length_c 4.928
_cell_angle_alpha 90.00
_cell_angle_beta 90.00
_cell_angle_gamma 90.00
loop_
_atom_site_label
_atom_site_type_symbol
_atom_site_fract_x
_atom_site_fract_y
_atom_site_fract_z
_atom_site_occupancy
Ba1 Ba 0.000 0.000 0.000 1
Ga1 Ga 0.500 0.500 0.000 1
Tc1 Tc 0.500 0.500 0.500 1
Ge1 Ge 0.000 0.500 0.500 1
```



[7]
# KNb2Rh2 | Alexandria | PBE | optimized geometry
# * energy above the most stable polymorph in this dataset: 0.3270 eV/atom
data_KNb2Rh2
_space_group_name_H-M_alt 'I 4/m m m'
_space_group_IT_number 139
_space_group_name_Hall '-I 4 2'
_cell_length_a 4.643
_cell_length_b 4.643
_cell_length_c 10.224
_cell_angle_alpha 90.00
_cell_angle_beta 90.00
_cell_angle_gamma 90.00
loop_
_atom_site_label
_atom_site_type_symbol
_atom_site_fract_x
_atom_site_fract_y
_atom_site_fract_z
_atom_site_occupancy
K1 K 0.000 0.000 0.000 1
Nb1 Nb 0.000 0.000 0.360 1
Rh1 Rh 0.000 0.500 0.250 1



[8]
# Mo3AsOs | Alexandria | PBE | optimized geometry
# * energy above the most stable polymorph in this dataset: 0.0000 eV/atom
data_Mo3AsOs
_space_group_name_H-M_alt 'P m -3 m'
_space_group_IT_number 221
_space_group_name_Hall '-P 4 2 3'
_cell_length_a 4.511
_cell_length_b 4.511
_cell_length_c 4.511
_cell_angle_alpha 90.00
_cell_angle_beta 90.00
_cell_angle_gamma 90.00
loop_
_atom_site_label
_atom_site_type_symbol
_atom_site_fract_x
_atom_site_fract_y
_atom_site_fract_z
_atom_site_occupancy
Mo1 Mo 0.000 0.000 0.500 1
As1 As 0.000 0.000 0.000 1
Os1 Os 0.500 0.500 0.500 1



[9]
The following is a PBE calculation of an optimized crystal structure of US2Cl8, from Alexandria.

The structure in CIF format:
```
data_US2Cl8
_space_group_name_H-M_alt 'C 1 2/m 1'
_space_group_IT_number 12
_space_group_name_Hall '-C 2y'
_cell_length_a 10.872
_cell_length_b 10.018
_cell_length_c 9.803
_cell_angle_alpha 90.00
_cell_angle_beta 113.81
_cell_angle_gamma 90.00
loop_
_atom_site_label
_atom_site_type_symbol
_atom_site_fract_x
_atom_site_fract_y
_atom_site_fract_z
_atom_site_occupancy
U1 U 0.000 0.000 0.000 1
S1 S 0.100 0.500 0.513 1
Cl1 Cl 0.066 0.500 0.296 1
Cl2 Cl 0.076 0.000 0.792 1
Cl3 Cl 0.169 0.176 0.131 1
```



[10]
The following is a PBE calculation of an optimized crystal structure of ZrV2PIr, from Alexandria.

The structure in CIF format:
```
data_ZrV2PIr
_space_group_name_H-M_alt 'P 4/m m m'
_space_group_IT_number 123
_space_group_name_Hall '-P 4 2'
_cell_length_a 4.600
_cell_length_b 4.600
_cell_length_c 5.116
_cell_angle_alpha 90.00
_cell_angle_beta 90.00
_cell_angle_gamma 90.00
loop_
_atom_site_label
_atom_site_type_symbol
_atom_site_fract_x
_atom_site_fract_y
_atom_site_fract_z
_atom_site_occupancy
Zr1 Zr 0.000 0.000 0.000 1
V1 V 0.000 0.500 0.500 1
P1 P 0.500 0.500 0.000 1
Ir1 Ir 0.000 0.000 0.500 1
```



[11]
The following is a PBE calculation of an optimized crystal structure of Cr2OsC, from Alexandria.

The structure in CIF format:
```
data_Cr2OsC
_space_group_name_H-M_alt 'R -3 m'
_space_group_IT_number 166
_space_group_name_Hall '-R 3 2"'
_cell_length_a 2.7901
_cell_length_b 2.7901
_cell_length_c 19.4263
_cell_angle_alpha 90.00
_cell_angle_beta 90.00
_cell_angle_gamma 120.00
loop_
_atom_site_label
_atom_site_type_symbol
_atom_site_fract_x
_atom_site_fract_y
_atom_site_fract_z
_atom_site_occupancy
Cr1 Cr 0.0000 0.0000 0.2225 1
Os1 Os 0.0000 0.0000 0.0000 1
C1 C 0.0000 0.0000 0.5000 1
```



[12]
# Ga4PtAu | Alexandria | PBE | optimized geometry
# * energy above the most stable polymorph in this dataset: 0.2286 eV/atom
data_Ga4PtAu
_space_group_name_H-M_alt 'C 1 2/m 1'
_space_group_IT_number 12
_space_group_name_Hall '-C 2y'
_cell_length_a 13.803
_cell_length_b 4.564
_cell_length_c 9.788
_cell_angle_alpha 90.00
_cell_angle_beta 113.59
_cell_angle_gamma 90.00
loop_
_atom_site_label
_atom_site_type_symbol
_atom_site_fract_x
_atom_site_fract_y
_atom_site_fract_z
_atom_site_occupancy
Ga1 Ga 0.080 0.000 0.457 1
Ga2 Ga 0.088 0.000 0.959 1
Ga3 Ga 0.188 0.500 0.797 1
Ga4 Ga 0.212 0.500 0.310 1
Pt1 Pt 0.114 0.000 0.729 1
Au1 Au 0.120 0.000 0.232 1



[13]
The following is a PBE calculation of an optimized crystal structure of MgZr2Cd, from Alexandria.

The structure in CIF format:
```
data_MgZr2Cd
_space_group_name_H-M_alt 'P 4/m m m'
_space_group_IT_number 123
_space_group_name_Hall '-P 4 2'
_cell_length_a 3.168
_cell_length_b 3.168
_cell_length_c 8.752
_cell_angle_alpha 90.00
_cell_angle_beta 90.00
_cell_angle_gamma 90.00
loop_
_atom_site_label
_atom_site_type_symbol
_atom_site_fract_x
_atom_site_fract_y
_atom_site_fract_z
_atom_site_occupancy
Mg1 Mg 0.000 0.000 0.000 1
Zr1 Zr 0.500 0.500 0.253 1
Cd1 Cd 0.000 0.000 0.500 1
```



[14]
The following is a PBE calculation of an optimized crystal structure of Sm5GaBi2, from Alexandria.

The structure in CIF format:
```
data_Sm5GaBi2
_space_group_name_H-M_alt 'C m c m'
_space_group_IT_number 63
_space_group_name_Hall '-C 2c 2'
_cell_length_a 5.962
_cell_length_b 11.693
_cell_length_c 14.447
_cell_angle_alpha 90.00
_cell_angle_beta 90.00
_cell_angle_gamma 90.00
loop_
_atom_site_label
_atom_site_type_symbol
_atom_site_fract_x
_atom_site_fract_y
_atom_site_fract_z
_atom_site_occupancy
Sm1 Sm 0.000 0.075 0.250 1
Sm2 Sm 0.000 0.124 0.553 1
Sm3 Sm 0.000 0.420 0.605 1
Ga1 Ga 0.000 0.215 0.750 1
Bi1 Bi 0.000 0.303 0.120 1
```



[15]
The following is a PBE calculation of an optimized crystal structure of Sr2TlTeS5, from Alexandria.

The structure in CIF format:
```
data_Sr2TlTeS5
_space_group_name_H-M_alt 'C m c 21'
_space_group_IT_number 36
_space_group_name_Hall 'C 2c -2'
_cell_length_a 4.309
_cell_length_b 17.633
_cell_length_c 12.351
_cell_angle_alpha 90.00
_cell_angle_beta 90.00
_cell_angle_gamma 90.00
loop_
_atom_site_label
_atom_site_type_symbol
_atom_site_fract_x
_atom_site_fract_y
_atom_site_fract_z
_atom_site_occupancy
Sr1 Sr 0.000 0.106 0.000 1
Sr2 Sr 0.000 0.134 0.618 1
Tl1 Tl 0.000 0.439 0.757 1
Te1 Te 0.000 0.222 0.340 1
S1 S 0.000 0.051 0.376 1
S2 S 0.000 0.277 0.955 1
S3 S 0.000 0.311 0.647 1
S4 S 0.000 0.359 0.309 1
S5 S 0.000 0.486 0.081 1
```



[16]
# Ta2NiOs | Alexandria | PBE | optimized geometry
# * energy above the most stable polymorph in this dataset: 0.6249 eV/atom
data_Ta2NiOs
_space_group_name_H-M_alt 'I -4 2 d'
_space_group_IT_number 122
_space_group_name_Hall 'I -4 2bw'
_cell_length_a 6.969
_cell_length_b 6.969
_cell_length_c 5.469
_cell_angle_alpha 90.00
_cell_angle_beta 90.00
_cell_angle_gamma 90.00
loop_
_atom_site_label
_atom_site_type_symbol
_atom_site_fract_x
_atom_site_fract_y
_atom_site_fract_z
_atom_site_occupancy
Ta1 Ta 0.244 0.250 0.125 1
Ni1 Ni 0.000 0.000 0.000 1
Os1 Os 0.000 0.000 0.500 1



[17]
The following is a PBE calculation of an optimized crystal structure of Nb3RuRh2, from Alexandria.

The structure in CIF format:
```
data_Nb3RuRh2
_space_group_name_H-M_alt 'C m m m'
_space_group_IT_number 65
_space_group_name_Hall '-C 2 2'
_cell_length_a 4.135
_cell_length_b 12.353
_cell_length_c 3.776
_cell_angle_alpha 90.00
_cell_angle_beta 90.00
_cell_angle_gamma 90.00
loop_
_atom_site_label
_atom_site_type_symbol
_atom_site_fract_x
_atom_site_fract_y
_atom_site_fract_z
_atom_site_occupancy
Nb1 Nb 0.000 0.000 0.000 1
Nb2 Nb 0.000 0.335 0.000 1
Ru1 Ru 0.000 0.500 0.500 1
Rh1 Rh 0.000 0.169 0.500 1
```



[18]
The following is a PBE calculation of an optimized crystal structure of SmCdGe4, from Alexandria.

The structure in CIF format:
```
data_SmCdGe4
_space_group_name_H-M_alt 'F -4 3 m'
_space_group_IT_number 216
_space_group_name_Hall 'F -4 2 3'
_cell_length_a 7.987
_cell_length_b 7.987
_cell_length_c 7.987
_cell_angle_alpha 90.00
_cell_angle_beta 90.00
_cell_angle_gamma 90.00
loop_
_atom_site_label
_atom_site_type_symbol
_atom_site_fract_x
_atom_site_fract_y
_atom_site_fract_z
_atom_site_occupancy
Sm1 Sm 0.000 0.000 0.000 1
Cd1 Cd 0.250 0.250 0.750 1
Ge1 Ge 0.125 0.125 0.375 1
```



[19]
The following is a PBE calculation of an optimized crystal structure of TaSbW2, from Alexandria.

The structure in CIF format:
```
data_TaSbW2
_space_group_name_H-M_alt 'P m m m'
_space_group_IT_number 47
_space_group_name_Hall '-P 2 2'
_cell_length_a 3.434
_cell_length_b 4.519
_cell_length_c 4.565
_cell_angle_alpha 90.00
_cell_angle_beta 90.00
_cell_angle_gamma 90.00
loop_
_atom_site_label
_atom_site_type_symbol
_atom_site_fract_x
_atom_site_fract_y
_atom_site_fract_z
_atom_site_occupancy
Ta1 Ta 0.000 0.000 0.000 1
Sb1 Sb 0.500 0.500 0.000 1
W1 W 0.000 0.500 0.500 1
W2 W 0.500 0.000 0.500 1
```



[20]
The following is a PBE calculation of an optimized crystal structure of Pr6NdSm3Ho2, from Alexandria.

The structure in CIF format:
```
data_Pr6NdSm3Ho2
_space_group_name_H-M_alt 'C 1 2/m 1'
_space_group_IT_number 12
_space_group_name_Hall '-C 2y'
_cell_length_a 6.352
_cell_length_b 11.006
_cell_length_c 12.059
_cell_angle_alpha 90.00
_cell_angle_beta 100.13
_cell_angle_gamma 90.00
loop_
_atom_site_label
_atom_site_type_symbol
_atom_site_fract_x
_atom_site_fract_y
_atom_site_fract_z
_atom_site_occupancy
Pr1 Pr 0.249 0.000 0.249 1
Pr2 Pr 0.250 0.167 0.751 1
Nd1 Nd 0.000 0.500 0.000 1
Sm1 Sm 0.000 0.000 0.500 1
Sm2 Sm 0.000 0.333 0.500 1
Ho1 Ho 0.000 0.167 0.000 1
```



Which final energy belongs to each record? In order, -3.530, -5.097, -9.763, -5.799, -6.437, -5.174, -6.751, -8.211, -4.065, -7.516, -9.972, -3.761, -4.909, -4.608, -4.194, -9.805, -9.355, -4.196, -10.041, -4.717 eV/atom.